No. 1
{
  "formula": "Al2VHg",
  "functional": "PBE-GGA",
  "state": "optimized geometry",
  "cell": [[7.260, 0.000, 0.000], [0.000, 7.260, 0.000], [0.000, 0.000, 5.618]],
  "species": ["Al", "Al", "Al", "Al", "Al", "Al", "Al", "Al", "V", "V", "V", "V", "Hg", "Hg", "Hg", "Hg"],
  "frac_coords": [[0.250, 0.250, 0.125], [0.250, 0.250, 0.625], [0.250, 0.750, 0.375], [0.250, 0.750, 0.875], [0.750, 0.250, 0.375], [0.750, 0.250, 0.875], [0.750, 0.750, 0.125], [0.750, 0.750, 0.625], [0.000, 0.000, 0.000], [0.000, 0.500, 0.250], [0.500, 0.000, 0.750], [0.500, 0.500, 0.500], [0.000, 0.000, 0.500], [0.000, 0.500, 0.750], [0.500, 0.000, 0.250], [0.500, 0.500, 0.000]],
  "sg": "I-42d",
  "ef_ev_per_fu": 1.790,
  "dos_at_fermi_per_ev_fu": 2.05,
  "total_energy_ev_per_atom": -3.779
}

No. 2
{
  "formula": "Al2VHg",
  "functional": "PBE-GGA",
  "state": "optimized geometry",
  "cell": [[4.134, 0.000, 0.000], [0.000, 4.134, 0.000], [0.000, 0.000, 3.821]],
  "species": ["Al", "Al", "V", "Hg"],
  "frac_coords": [[0.000, 0.500, 0.000], [0.500, 0.000, 0.000], [0.000, 0.000, 0.500], [0.500, 0.500, 0.500]],
  "sg": "P4/mmm",
  "ef_ev_per_fu": 0.167,
  "dos_at_fermi_per_ev_fu": 2.46,
  "total_energy_ev_per_atom": -4.185
}

No. 3
{
  "formula": "AlVHgW2",
  "functional": "PBE-GGA",
  "state": "optimized geometry",
  "cell": [[4.600, 0.000, 0.000], [0.000, 4.600, 0.000], [0.000, 0.000, 4.436]],
  "species": ["Al", "V", "Hg", "W", "W"],
  "frac_coords": [[0.000, 0.000, 0.000], [0.000, 0.000, 0.500], [0.500, 0.500, 0.500], [0.000, 0.500, 0.000], [0.500, 0.000, 0.000]],
  "sg": "P4/mmm",
  "ef_ev_per_fu": 8.169,
  "dos_at_fermi_per_ev_fu": 5.97,
  "total_energy_ev_per_atom": -6.180
}

No. 4
{
  "formula": "Al2VZnHg",
  "functional": "PBE-GGA",
  "state": "optimized geometry",
  "cell": [[4.619, 0.000, 0.000], [0.000, 4.619, 0.000], [0.000, 0.000, 4.911]],
  "species": ["Al", "Al", "V", "Zn", "Hg"],
  "frac_coords": [[0.000, 0.500, 0.000], [0.500, 0.000, 0.000], [0.000, 0.000, 0.500], [0.000, 0.000, 0.000], [0.500, 0.500, 0.500]],
  "sg": "P4/mmm",
  "ef_ev_per_fu": 3.362,
  "dos_at_fermi_per_ev_fu": 3.98,
  "total_energy_ev_per_atom": -2.964
}

No. 5
{
  "formula": "Al2HgW",
  "functional": "PBE-GGA",
  "state": "optimized geometry",
  "cell": [[3.831, 0.000, 0.000], [0.000, 3.831, 0.000], [0.000, 0.000, 9.002]],
  "species": ["Al", "Al", "Al", "Al", "Hg", "Hg", "W", "W"],
  "frac_coords": [[0.000, 0.000, 0.000], [0.000, 0.500, 0.250], [0.500, 0.000, 0.750], [0.500, 0.500, 0.500], [0.000, 0.000, 0.500], [0.500, 0.500, 0.000], [0.000, 0.500, 0.750], [0.500, 0.000, 0.250]],
  "sg": "I-4m2",
  "ef_ev_per_fu": 0.827,
  "dos_at_fermi_per_ev_fu": 0.80,
  "total_energy_ev_per_atom": -4.978
}

No. 6
{
  "formula": "Al2HgW",
  "functional": "PBE-GGA",
  "state": "optimized geometry",
  "cell": [[4.895, 0.000, 0.000], [0.000, 4.895, 0.000], [0.000, 0.000, 2.857]],
  "species": ["Al", "Al", "Hg", "W"],
  "frac_coords": [[0.000, 0.500, 0.000], [0.500, 0.000, 0.000], [0.000, 0.000, 0.500], [0.500, 0.500, 0.500]],
  "sg": "P4/mmm",
  "ef_ev_per_fu": 0.981,
  "dos_at_fermi_per_ev_fu": 1.76,
  "total_energy_ev_per_atom": -4.940
}